Arrangement 1

Crystalline PmAgRh at its relaxed geometry. Source: the Alexandria database, functional PBE.

Output
space group	No. 63

Cell: 8.931 8.931 3.972 Å, 90.00 90.00 155.55°
Element x y z (fractional)
Pm 0.100 0.900 0.750
Pm 0.900 0.100 0.250
Ag 0.287 0.713 0.750
Ag 0.713 0.287 0.250
Rh 0.450 0.550 0.750
Rh 0.550 0.450 0.250

Arrangement 2

Crystalline PmAgRh at its relaxed geometry. Source: the Alexandria database, functional PBE.

Output
space group	No. 107

Cell: 5.405 5.405 5.405 Å, 140.81 140.81 56.63°
Element x y z (fractional)
Pm 0.000 0.000 0.000
Ag 0.688 0.688 0.000
Rh 0.345 0.345 0.000

Arrangement 3

Crystalline PmAgRh at its relaxed geometry. Source: the Alexandria database, functional PBE.

Output
space group	No. 164

Cell: 4.482 4.482 7.731 Å, 90.00 90.00 120.00°
Element x y z (fractional)
Pm 0.000 0.000 0.228
Pm 0.000 0.000 0.772
Ag 0.333 0.667 0.465
Ag 0.667 0.333 0.535
Rh 0.333 0.667 0.005
Rh 0.667 0.333 0.995

Preferred: arrangement 1; penalty for the next structure: 48 meV/atom.

Arrangement 1

Crystalline Pm3AgRh at its relaxed geometry. Source: the Alexandria database, functional PBE.

Output
space group	No. 14

Cell: 8.975 6.662 10.301 Å, 90.00 119.10 90.00°
Element x y z (fractional)
Pm 0.124 0.001 0.312
Pm 0.124 0.499 0.812
Pm 0.250 0.000 0.043
Pm 0.250 0.500 0.543
Pm 0.306 0.000 0.704
Pm 0.306 0.500 0.204
Pm 0.694 0.000 0.296
Pm 0.694 0.500 0.796
Pm 0.750 0.000 0.957
Pm 0.750 0.500 0.457
Pm 0.876 0.501 0.188
Pm 0.876 0.999 0.688
Ag 0.500 0.208 0.500
Ag 0.500 0.292 0.000
Ag 0.500 0.708 0.000
Ag 0.500 0.792 0.500
Rh 0.000 0.221 0.501
Rh 0.000 0.279 0.001
Rh 0.000 0.721 0.999
Rh 0.000 0.779 0.499

Arrangement 2

Crystalline Pm3AgRh at its relaxed geometry. Source: the Alexandria database, functional PBE.

Output
space group	No. 62

Cell: 7.372 4.850 15.189 Å, 90.00 90.00 90.00°
Element x y z (fractional)
Pm 0.009 0.250 0.103
Pm 0.136 0.750 0.453
Pm 0.182 0.250 0.722
Pm 0.318 0.750 0.222
Pm 0.364 0.250 0.953
Pm 0.491 0.750 0.603
Pm 0.509 0.250 0.397
Pm 0.636 0.750 0.047
Pm 0.682 0.250 0.778
Pm 0.818 0.750 0.278
Pm 0.864 0.250 0.547
Pm 0.991 0.750 0.897
Ag 0.100 0.250 0.317
Ag 0.400 0.750 0.817
Ag 0.600 0.250 0.183
Ag 0.900 0.750 0.683
Rh 0.224 0.750 0.046
Rh 0.276 0.250 0.546
Rh 0.724 0.750 0.454
Rh 0.776 0.250 0.954

Preferred: arrangement 2; penalty for the next structure: 26 meV/atom.

Arrangement 1

Crystalline Pm4AgRh at its relaxed geometry. Source: the Alexandria database, functional PBE.

Output
space group	No. 2

Cell: 4.172 6.207 7.811 Å, 111.82 90.07 90.00°
Element x y z (fractional)
Pm 0.000 0.034 0.265
Pm 0.000 0.966 0.735
Pm 0.500 0.465 0.712
Pm 0.500 0.535 0.288
Ag 0.000 0.500 0.000
Rh 0.500 0.000 0.500

Arrangement 2

Crystalline Pm4AgRh at its relaxed geometry. Source: the Alexandria database, functional PBE.

Output
space group	No. 216

Cell: 9.785 9.785 9.785 Å, 60.00 60.00 60.00°
Element x y z (fractional)
Pm 0.061 0.061 0.439
Pm 0.061 0.439 0.061
Pm 0.061 0.439 0.439
Pm 0.187 0.187 0.813
Pm 0.187 0.813 0.187
Pm 0.187 0.813 0.813
Pm 0.195 0.602 0.602
Pm 0.439 0.061 0.061
Pm 0.439 0.061 0.439
Pm 0.439 0.439 0.061
Pm 0.602 0.195 0.602
Pm 0.602 0.602 0.195
Pm 0.602 0.602 0.602
Pm 0.813 0.187 0.187
Pm 0.813 0.187 0.813
Pm 0.813 0.813 0.187
Ag 0.506 0.831 0.831
Ag 0.831 0.506 0.831
Ag 0.831 0.831 0.506
Ag 0.831 0.831 0.831
Rh 0.393 0.393 0.393
Rh 0.393 0.393 0.822
Rh 0.393 0.822 0.393
Rh 0.822 0.393 0.393

Preferred: arrangement 2; penalty for the next structure: 164 meV/atom.

Arrangement 1

Crystalline TbPmAgRh at its relaxed geometry. Source: the Alexandria database, functional PBE.

Output
space group	No. 99

Cell: 3.557 3.557 7.295 Å, 90.00 90.00 90.00°
Element x y z (fractional)
Tb 0.000 0.000 0.000
Pm 0.000 0.000 0.458
Ag 0.500 0.500 0.741
Rh 0.500 0.500 0.220

Arrangement 2

Crystalline TbPmAgRh at its relaxed geometry. Source: the Alexandria database, functional PBE.

Output
space group	No. 216

Cell: 5.062 5.062 5.062 Å, 60.00 60.00 60.00°
Element x y z (fractional)
Tb 0.000 0.000 0.000
Pm 0.500 0.500 0.500
Ag 0.250 0.250 0.250
Rh 0.750 0.750 0.750

Preferred: arrangement 1; penalty for the next structure: 27 meV/atom.